# K4Co7O14

K4Co7O14 after structural relaxation (GGA-PBEsol, Alexandria via LeMat-Bulk).

Cell and atoms, written as POSCAR:
```
K4Co7O14
1.0
7.4753 0.0000 0.0000
-3.7377 6.4738 0.0000
0.0000 0.0000 12.2235
K Co O
8 14 28
Cartesian
0.0000 0.0000 3.0559 K
0.0000 0.0000 9.1677 K
-1.9186 3.7473 3.0559 K
1.4517 2.9387 3.0559 K
3.2708 0.2121 9.1677 K
0.4668 6.2617 3.0559 K
2.2859 3.5352 9.1677 K
5.6562 2.7266 9.1677 K
0.0000 0.0000 0.0000 Co
0.0000 0.0000 6.1118 Co
-0.5356 2.7764 0.0216 Co
-0.5356 2.7764 6.0902 Co
-1.0654 5.5495 0.0216 Co
-1.0654 5.5495 6.0902 Co
2.1366 1.8520 6.1333 Co
2.1366 1.8520 12.2020 Co
1.6010 4.6218 0.0216 Co
1.6010 4.6218 6.0902 Co
4.8031 0.9244 6.1333 Co
4.8031 0.9244 12.2020 Co
4.2732 3.6974 6.1333 Co
4.2732 3.6974 12.2020 Co
-2.6812 5.2352 0.9525 O
-2.6812 5.2352 5.1593 O
-1.5838 4.0276 7.0231 O
-1.5838 4.0276 11.3122 O
0.5445 1.5343 0.9525 O
0.5445 1.5343 5.1593 O
1.6009 0.2956 7.0643 O
1.6009 0.2956 11.2710 O
0.0000 4.3159 1.0167 O
0.0000 4.3159 5.0951 O
1.0416 3.0884 7.0231 O
1.0416 3.0884 11.3122 O
3.1954 0.6422 0.9113 O
3.1954 0.6422 5.2005 O
0.5422 5.8317 7.0231 O
0.5422 5.8317 11.3122 O
2.6961 3.3854 0.9113 O
2.6961 3.3854 5.2005 O
3.7377 2.1579 7.1284 O
3.7377 2.1579 11.2069 O
2.1367 6.1782 0.9525 O
2.1367 6.1782 5.1593 O
3.1932 4.9396 7.0643 O
3.1932 4.9396 11.2710 O
5.3215 2.4462 0.9113 O
5.3215 2.4462 5.2005 O
6.4189 1.2387 7.0643 O
6.4189 1.2387 11.2710 O
```

Calculated values
volume: 11.83 Å³ per atom
space-group type: P6_3/m
Fermi-level density of states: 35.5 states/eV per cell
raw formation energy: -1.299 eV/atom